VASP calculation (PBE-GGA) on an optimized crystal structure of K2PaTe4Au2.

Cell lengths 9.0411, 9.0411, 8.2882 Å; angles 111.24, 111.24, 29.38 degrees
Last column: nearest neighbours and their distance in Å.
Sites, in units of the cell vectors:
K1 0.1407 0.1407 0.0852  7 Te 3.63-3.97, 3 Au 3.70-3.71
K2 0.8593 0.8593 0.9148  7 Te 3.63-3.97, 3 Au 3.70-3.71
Pa1 0.0000 0.0000 0.5000  6 Te 3.16-3.20, 4 Au 3.29
Te1 0.1971 0.1971 0.6639  2 Au 2.71
Te2 0.4758 0.4758 0.7382  1 Au 2.74
Te3 0.5242 0.5242 0.2618  1 Au 2.74
Te4 0.8029 0.8029 0.3361  2 Au 2.71
Au1 0.3695 0.3695 0.2722  3 Te 2.71-2.74
Au2 0.6305 0.6305 0.7278  3 Te 2.71-2.74

Computed properties:
Calculated volume (Å³ per cell): 308
E (eV/cell): -37.5
N(E_F) (states/eV per atom): 0.581
Magnetization (μB/cell): 1.0
ΔE_f (raw) (eV/f.u.): -6.68
Symmetry: C2/m, No. 12